[1]
# PBE Mg2NpZn3N6, optimized geometry
# uncorrected energy = -6.14 eV per atom
# raw formation energy = -319 meV/atom
# theoretical density = 7.2 g cm⁻³
# DOS at the Fermi energy = 0.762 states/eV per atom
data_Mg2NpZn3N6
_cell_length_a 5.448
_cell_length_b 9.627
_cell_length_c 5.263
_cell_angle_alpha 90.00
_cell_angle_beta 108.82
_cell_angle_gamma 90.00
_symmetry_space_group_name_H-M 'C 1 2/m 1'
_symmetry_Int_Tables_number 12
loop_
_symmetry_equiv_pos_as_xyz
'x,y,z'
'-x,-y,-z'
'-x,y,-z'
'x,-y,z'
'x+1/2,y+1/2,z'
'-x+1/2,-y+1/2,-z'
'-x+1/2,y+1/2,-z'
'x+1/2,-y+1/2,z'
loop_
_atom_site_label
_atom_site_fract_x
_atom_site_fract_y
_atom_site_fract_z
Mg1 0.000 0.168 0.000
Np1 0.000 0.500 0.000
Zn1 0.000 0.000 0.500
Zn2 0.000 0.325 0.500
N1 0.242 0.339 0.249
N2 0.242 0.500 0.776

[2]
# PBE TbYIr, optimized geometry
# energy of formation = -2.0 eV per formula unit
# uncorrected energy = -7.30 eV per atom
# theoretical density = 9.5 g cm⁻³
# DOS at the Fermi energy = 1.012 states/eV per atom
# polymorph energy (0 for the lowest one) = 24 meV/atom
data_TbYIr
_cell_length_a 11.731
_cell_length_b 3.894
_cell_length_c 8.004
_cell_angle_alpha 90.00
_cell_angle_beta 122.61
_cell_angle_gamma 90.00
_symmetry_space_group_name_H-M 'C 1 m 1'
_symmetry_Int_Tables_number 8
loop_
_symmetry_equiv_pos_as_xyz
'x,y,z'
'x,-y,z'
'x+1/2,y+1/2,z'
'x+1/2,-y+1/2,z'
loop_
_atom_site_label
_atom_site_fract_x
_atom_site_fract_y
_atom_site_fract_z
Tb1 0.000 0.000 0.000
Tb2 0.092 0.500 0.702
Y1 0.255 0.500 0.458
Y2 0.345 0.000 0.161
Ir1 0.039 0.000 0.394
Ir2 0.307 0.000 0.768

[3]
# PBE PmMnNb2N4, optimized geometry
# uncorrected energy = -9.38 eV per atom
# raw formation energy = -960 meV/atom
# theoretical density = 7.8 g cm⁻³
# DOS at the Fermi energy = 0.447 states/eV per atom
data_PmMnNb2N4
_cell_length_a 3.130
_cell_length_b 10.994
_cell_length_c 10.883
_cell_angle_alpha 90.00
_cell_angle_beta 90.00
_cell_angle_gamma 90.00
_symmetry_space_group_name_H-M 'C m c m'
_symmetry_Int_Tables_number 63
_symmetry_space_group_name_Hall '-C 2c 2'
loop_
_atom_site_label
_atom_site_fract_x
_atom_site_fract_y
_atom_site_fract_z
Pm1 0.000 0.107 0.250
Mn1 0.000 0.158 0.750
Nb1 0.000 0.369 0.056
N1 0.000 0.000 0.000
N2 0.000 0.271 0.614
N3 0.000 0.444 0.250

[4]
# PBE La2ErGe, optimized geometry
# energy of formation = -1.4 eV per formula unit
# uncorrected energy = -5.10 eV per atom
# theoretical density = 7.7 g cm⁻³
# DOS at the Fermi energy = 1.149 states/eV per atom
# polymorph energy (0 for the lowest one) = 0 meV/atom
data_La2ErGe
_cell_length_a 4.753
_cell_length_b 4.753
_cell_length_c 4.925
_cell_angle_alpha 90.00
_cell_angle_beta 90.00
_cell_angle_gamma 90.00
_symmetry_space_group_name_H-M 'P 4/m m m'
_symmetry_Int_Tables_number 123
_symmetry_space_group_name_Hall '-P 4 2'
loop_
_atom_site_label
_atom_site_fract_x
_atom_site_fract_y
_atom_site_fract_z
La1 0.000 0.500 0.000
Er1 0.000 0.000 0.500
Ge1 0.500 0.500 0.500

[5]
# PBE Ac2ReAgO6, optimized geometry
# uncorrected energy = -7.36 eV per atom
# raw formation energy = -2037 meV/atom
# theoretical density = 8.2 g cm⁻³
# DOS at the Fermi energy = 0.283 states/eV per atom
data_Ac2ReAgO6
_cell_length_a 5.636
_cell_length_b 5.636
_cell_length_c 5.349
_cell_angle_alpha 90.00
_cell_angle_beta 90.00
_cell_angle_gamma 90.00
_symmetry_space_group_name_H-M 'P 4 m m'
_symmetry_Int_Tables_number 99
loop_
_symmetry_equiv_pos_as_xyz
'x,y,z'
'-y,x,z'
'-x,-y,z'
'y,-x,z'
'-x,y,z'
'y,x,z'
'x,-y,z'
'-y,-x,z'
loop_
_atom_site_label
_atom_site_fract_x
_atom_site_fract_y
_atom_site_fract_z
Ac1 0.000 0.500 0.000
Re1 0.000 0.000 0.575
Ag1 0.500 0.500 0.505
O1 0.000 0.000 0.239
O2 0.223 0.223 0.731
O3 0.500 0.500 0.101

[6]
# PBE Cr2MoAs, optimized geometry
# energy of formation = 0.2 eV per formula unit
# uncorrected energy = -8.62 eV per atom
# theoretical density = 8.6 g cm⁻³
# DOS at the Fermi energy = 0.816 states/eV per atom
data_Cr2MoAs
_cell_length_a 3.116
_cell_length_b 4.013
_cell_length_c 8.478
_cell_angle_alpha 90.00
_cell_angle_beta 90.00
_cell_angle_gamma 90.00
_symmetry_space_group_name_H-M 'I m m 2'
_symmetry_Int_Tables_number 44
loop_
_symmetry_equiv_pos_as_xyz
'x,y,z'
'-x,-y,z'
'-x,y,z'
'x,-y,z'
'x+1/2,y+1/2,z+1/2'
'-x+1/2,-y+1/2,z+1/2'
'-x+1/2,y+1/2,z+1/2'
'x+1/2,-y+1/2,z+1/2'
loop_
_atom_site_label
_atom_site_fract_x
_atom_site_fract_y
_atom_site_fract_z
Cr1 0.000 0.000 0.000
Cr2 0.000 0.500 0.256
Mo1 0.000 0.500 0.753
As1 0.000 0.000 0.512

What did the sixth record say?
# PBE Cr2MoAs, optimized geometry
# energy of formation = 0.2 eV per formula unit
# uncorrected energy = -8.62 eV per atom
# theoretical density = 8.6 g cm⁻³
# DOS at the Fermi energy = 0.816 states/eV per atom
data_Cr2MoAs
_cell_length_a 3.116
_cell_length_b 4.013
_cell_length_c 8.478
_cell_angle_alpha 90.00
_cell_angle_beta 90.00
_cell_angle_gamma 90.00
_symmetry_space_group_name_H-M 'I m m 2'
_symmetry_Int_Tables_number 44
loop_
_symmetry_equiv_pos_as_xyz
'x,y,z'
'-x,-y,z'
'-x,y,z'
'x,-y,z'
'x+1/2,y+1/2,z+1/2'
'-x+1/2,-y+1/2,z+1/2'
'-x+1/2,y+1/2,z+1/2'
'x+1/2,-y+1/2,z+1/2'
loop_
_atom_site_label
_atom_site_fract_x
_atom_site_fract_y
_atom_site_fract_z
Cr1 0.000 0.000 0.000
Cr2 0.000 0.500 0.256
Mo1 0.000 0.500 0.753
As1 0.000 0.000 0.512

Look up the theoretical density of the fifth one. 8.2 g cm⁻³

Which of these has the highest uncorrected energy? La2ErGe